No. 1
Density functional theory data (GGA-PBE) for an optimized crystal structure of TmNiSb2.

Calculated values
Raw formation energy (eV/atom): -0.03

abc: 3.5007 3.5007 9.6279
angles: 79.53 79.53 60.00
With the nearest neighbours (Å) after each atom.
Positions (direct):
Sb (0.1087, 0.1087, 0.6740)  3 Ni 2.60
Ni (0.5000, 0.5000, 0.5000)  6 Sb 2.60
Sb (0.8913, 0.8913, 0.3260)  3 Ni 2.60
Tm (0.0000, 0.0000, 0.0000)  2 Sb 3.07

=====

No. 2
Density functional theory data (GGA-PBE) for an optimized crystal structure of Tm6Ni2Sb.

Calculated values
Raw formation energy (eV/atom): -0.46

abc: 8.3160 8.3160 8.3160
angles: 105.53 109.49 113.49
With the nearest neighbours (Å) after each atom.
Positions (direct):
Tm (0.6879, 0.3608, 0.6729)  3 Ni 2.67-2.85
Tm (0.5264, 0.7079, 0.8185)  3 Ni 2.86-3.11, 1 Sb 3.18
Ni (0.3480, 0.0000, 0.3480)  6 Tm 2.70-2.85, 1 Ni 2.92
Tm (0.7943, 0.2320, 0.0263)  1 Ni 2.70
Ni (0.5000, 0.6239, 0.1239)  1 Ni 2.49, 2 Tm 2.67
Sb (0.0000, 0.5000, 0.5000)  12 Tm 3.34-3.60
Ni (0.6520, 0.0000, 0.6520)  6 Tm 2.70-2.85, 1 Ni 2.92
Sb (0.0000, 0.0000, 0.0000)  8 Tm 3.06-3.18, 2 Ni 3.34
Tm (0.7943, 0.7680, 0.5623)  1 Ni 2.70
Tm (0.3121, 0.6392, 0.3271)  3 Ni 2.67-2.85
Tm (0.1106, 0.2921, 0.8185)  3 Ni 2.86-3.11, 1 Sb 3.18
Tm (0.8894, 0.7079, 0.1815)  3 Ni 2.86-3.11, 1 Sb 3.18
Tm (0.3121, 0.9850, 0.6729)  3 Ni 2.67-2.85
Tm (0.2057, 0.2320, 0.4377)  1 Ni 2.70
Tm (0.6879, 0.0150, 0.3271)  3 Ni 2.67-2.85
Ni (0.5000, 0.3761, 0.8761)  1 Ni 2.49, 2 Tm 2.67
Tm (0.2057, 0.7680, 0.9737)  1 Ni 2.70
Tm (0.4736, 0.2921, 0.1815)  3 Ni 2.86-3.11, 1 Sb 3.18

=====

No. 3
Density functional theory data (GGA-PBE) for an optimized crystal structure of Tm4NiSb.

Calculated values
Polymorph energy (0 for the lowest one) (eV per atom): 0.000
Raw formation energy (eV/atom): -0.52

abc: 5.9617 6.4663 8.4567
angles: 90.00 109.90 90.00
With the nearest neighbours (Å) after each atom.
Positions (direct):
Ni (0.7485, 0.7500, 0.4345)  6 Tm 2.60-2.81
Tm (0.9894, 0.4991, 0.2934)  2 Ni 2.70-2.81
Tm (0.4376, 0.7500, 0.5886)  1 Ni 2.60
Tm (0.0106, 0.9991, 0.7066)  2 Ni 2.70-2.81
Tm (0.4002, 0.7500, 0.1245)  1 Ni 2.73
Tm (0.0106, 0.5009, 0.7066)  2 Ni 2.70-2.81
Tm (0.5624, 0.2500, 0.4114)  1 Ni 2.60
Ni (0.2515, 0.2500, 0.5655)  6 Tm 2.60-2.81
Sb (0.7926, 0.7500, 0.9523)  9 Tm 3.08-3.42
Sb (0.2074, 0.2500, 0.0477)  9 Tm 3.08-3.42
Tm (0.5998, 0.2500, 0.8755)  1 Ni 2.73
Tm (0.9894, 0.0009, 0.2934)  2 Ni 2.70-2.81

=====

No. 4
Density functional theory data (GGA-PBE) for an optimized crystal structure of Tm8NiSb2.

Calculated values
Raw formation energy (eV/atom): -0.42

abc: 4.4951 7.2905 9.4346
angles: 95.94 103.78 90.00
With the nearest neighbours (Å) after each atom.
Positions (direct):
Tm (0.5951, 0.5215, 0.1901)  2 Sb 3.22, 8 Tm 3.44-3.54
Tm (0.4049, 0.4785, 0.8099)  2 Sb 3.22, 8 Tm 3.44-3.54
Tm (0.7870, 0.6491, 0.5740)  3 Sb 3.16-3.21, 6 Tm 3.32-3.44
Tm (0.9984, 0.7778, 0.9968)  2 Ni 2.77
Sb (0.1820, 0.7756, 0.3639)  9 Tm 3.11-3.39
Tm (0.6401, 0.0406, 0.2802)  1 Ni 2.55
Tm (0.0016, 0.2222, 0.0032)  2 Ni 2.77
Sb (0.8180, 0.2244, 0.6361)  9 Tm 3.11-3.39
Tm (0.2130, 0.3509, 0.4260)  3 Sb 3.16-3.21, 6 Tm 3.32-3.44
Tm (0.3599, 0.9594, 0.7198)  1 Ni 2.55
Ni (0.5000, 0.0000, 0.0000)  6 Tm 2.55-2.77

=====

No. 5
Density functional theory data (GGA-PBE) for an optimized crystal structure of Tm12NiSb6.

Calculated values
Raw formation energy (eV/atom): -0.60

abc: 8.4129 8.4129 8.4129
angles: 99.99 99.99 99.99
With the nearest neighbours (Å) after each atom.
Positions (direct):
Tm (0.9889, 0.3078, 0.0579)  1 Ni 2.57
Sb (0.6444, 0.3155, 0.1188)  7 Tm 3.01-3.23
Sb (0.3556, 0.6845, 0.8812)  7 Tm 3.01-3.23
Sb (0.6845, 0.8812, 0.3556)  7 Tm 3.01-3.23
Tm (0.6922, 0.9421, 0.0111)  1 Ni 2.57
Tm (0.0111, 0.6922, 0.9421)  1 Ni 2.57
Tm (0.5874, 0.4566, 0.8019)  4 Sb 3.01-3.23
Tm (0.4566, 0.8019, 0.5874)  4 Sb 3.01-3.23
Ni (0.0000, 0.0000, 0.0000)  6 Tm 2.57
Sb (0.1188, 0.6444, 0.3155)  7 Tm 3.01-3.23
Sb (0.3155, 0.1188, 0.6444)  7 Tm 3.01-3.23
Tm (0.3078, 0.0579, 0.9889)  1 Ni 2.57
Tm (0.1981, 0.4126, 0.5434)  4 Sb 3.01-3.23
Tm (0.0579, 0.9889, 0.3078)  1 Ni 2.57
Tm (0.5434, 0.1981, 0.4126)  4 Sb 3.01-3.23
Tm (0.8019, 0.5874, 0.4566)  4 Sb 3.01-3.23
Tm (0.9421, 0.0111, 0.6922)  1 Ni 2.57
Tm (0.4126, 0.5434, 0.1981)  4 Sb 3.01-3.23
Sb (0.8812, 0.3556, 0.6845)  7 Tm 3.01-3.23

=====

No. 6
Density functional theory data (GGA-PBE) for an optimized crystal structure of Tm4NiSb2.

Calculated values
Raw formation energy (eV/atom): -0.67

abc: 4.2169 8.4263 7.8712
angles: 135.68 105.54 90.00
With the nearest neighbours (Å) after each atom.
Positions (direct):
Sb (0.3375, 0.3405, 0.6751)  8 Tm 3.11-3.34, 1 Sb 3.44
Tm (0.0658, 0.7830, 0.1315)  1 Ni 2.65
Sb (0.6625, 0.6595, 0.3249)  8 Tm 3.11-3.34, 1 Sb 3.44
Ni (0.0000, 0.0000, 0.0000)  6 Tm 2.65-2.68
Tm (0.6565, 0.2608, 0.3129)  2 Ni 2.68
Tm (0.3435, 0.7392, 0.6871)  2 Ni 2.68
Tm (0.9342, 0.2170, 0.8685)  1 Ni 2.65

=====

No. 7
Density functional theory data (GGA-PBE) for an optimized crystal structure of Tm4NiSb.

Calculated values
Polymorph energy (0 for the lowest one) (eV per atom): 0.122
Raw formation energy (eV/atom): -0.39

abc: 6.3806 7.1124 8.1327
angles: 106.43 113.10 90.00
With the nearest neighbours (Å) after each atom.
Positions (direct):
Tm (0.4948, 0.4637, 0.1799)  1 Ni 2.53
Tm (0.7450, 0.8509, 0.6528)  2 Ni 2.63-2.77
Sb (0.1504, 0.7500, 0.0000)  8 Tm 3.21-3.30
Ni (0.0000, 0.0000, 0.5000)  6 Tm 2.53-2.77
Sb (0.8496, 0.2500, 0.0000)  8 Tm 3.21-3.30
Tm (0.9078, 0.3509, 0.6528)  2 Ni 2.63-2.77
Tm (0.0922, 0.6491, 0.3472)  2 Ni 2.63-2.77
Ni (0.5000, 0.5000, 0.5000)  6 Tm 2.53-2.77
Tm (0.3149, 0.0363, 0.8201)  1 Ni 2.53
Tm (0.2550, 0.1491, 0.3472)  2 Ni 2.63-2.77
Tm (0.6851, 0.9637, 0.1799)  1 Ni 2.53
Tm (0.5052, 0.5363, 0.8201)  1 Ni 2.53

=====

No. 8
Density functional theory data (GGA-PBE) for an optimized crystal structure of Tm2NiSb.

Calculated values
Raw formation energy (eV/atom): -0.73

abc: 4.0719 5.9664 8.0678
angles: 110.26 90.00 90.00
With the nearest neighbours (Å) after each atom.
Positions (direct):
Ni (0.7500, 0.6310, 0.2909)  2 Sb 2.72, 5 Tm 2.80-2.96
Tm (0.2500, 0.7495, 0.5512)  3 Ni 2.83-2.96, 3 Sb 3.11-3.14
Sb (0.2500, 0.8780, 0.2094)  2 Ni 2.72
Tm (0.7500, 0.2505, 0.4488)  3 Ni 2.83-2.96, 3 Sb 3.11-3.14
Sb (0.7500, 0.1220, 0.7906)  2 Ni 2.72
Ni (0.2500, 0.3690, 0.7091)  2 Sb 2.72, 5 Tm 2.80-2.96
Tm (0.2500, 0.3272, 0.1005)  2 Ni 2.80, 4 Sb 3.09-3.13
Tm (0.7500, 0.6728, 0.8995)  2 Ni 2.80, 4 Sb 3.09-3.13

=====

No. 9
Density functional theory data (GGA-PBE) for an optimized crystal structure of Tm7Ni2Sb2.

Calculated values
Polymorph energy (0 for the lowest one) (eV per atom): 0.000
Raw formation energy (eV/atom): -0.55

abc: 3.7708 9.2851 9.2851
angles: 62.40 78.28 78.28
With the nearest neighbours (Å) after each atom.
Positions (direct):
Sb (0.0000, 0.7698, 0.2302)  8 Tm 3.12-3.15
Tm (0.8134, 0.0886, 0.2846)  2 Ni 2.76
Tm (0.1483, 0.1007, 0.6026)  2 Ni 2.79
Sb (0.5000, 0.3569, 0.6431)  7 Tm 3.08-3.16
Tm (0.3737, 0.7313, 0.5213)  2 Ni 2.81, 3 Sb 3.08-3.14
Tm (0.1866, 0.7154, 0.9114)  2 Ni 2.76
Ni (0.2609, 0.3324, 0.1457)  6 Tm 2.76-2.81
Tm (0.8517, 0.3974, 0.8993)  2 Ni 2.79
Tm (0.6263, 0.4787, 0.2687)  2 Ni 2.81, 3 Sb 3.08-3.14
Ni (0.7391, 0.8543, 0.6676)  6 Tm 2.76-2.81
Tm (0.5000, 0.0283, 0.9717)  3 Sb 3.12-3.16

=====

No. 10
Density functional theory data (GGA-PBE) for an optimized crystal structure of TmNi6Sb2.

Calculated values
Raw formation energy (eV/atom): -0.09

abc: 3.4424 7.2712 7.2712
angles: 53.29 76.31 76.31
With the nearest neighbours (Å) after each atom.
Positions (direct):
Sb (0.6437, 0.8563, 0.8563)  10 Ni 2.57-2.74
Ni (0.8227, 0.8683, 0.4863)  4 Ni 2.39-2.62, 1 Sb 2.57
Ni (0.1773, 0.1317, 0.5137)  4 Ni 2.39-2.62, 1 Sb 2.57
Sb (0.3563, 0.1437, 0.1437)  10 Ni 2.57-2.74
Ni (0.0000, 0.8240, 0.1760)  3 Ni 2.30-2.39
Ni (0.0000, 0.1760, 0.8240)  3 Ni 2.30-2.39
Ni (0.1773, 0.5137, 0.1317)  4 Ni 2.39-2.62, 1 Sb 2.57
Ni (0.8227, 0.4863, 0.8683)  4 Ni 2.39-2.62, 1 Sb 2.57
Tm (0.5000, 0.5000, 0.5000)  4 Ni 2.73

=====

No. 11
Density functional theory data (GGA-PBE) for an optimized crystal structure of Tm8Ni2Sb.

Calculated values
Raw formation energy (eV/atom): -0.28

abc: 5.3224 7.7486 7.7486
angles: 113.39 97.51 97.51
With the nearest neighbours (Å) after each atom.
Positions (direct):
Tm (0.2983, 0.6062, 0.6062)  2 Ni 3.01, 4 Tm 3.12-3.34, 1 Sb 3.27
Ni (0.0000, 0.6954, 0.3046)  8 Tm 2.76-3.01
Tm (0.5000, 0.2482, 0.7518)  2 Ni 2.76
Sb (0.5000, 0.0000, 0.0000)  8 Tm 3.21-3.54
Tm (0.7017, 0.3938, 0.3938)  2 Ni 3.01, 4 Tm 3.12-3.34, 1 Sb 3.27
Tm (0.9127, 0.9238, 0.6645)  2 Ni 2.79-2.83
Ni (0.0000, 0.3046, 0.6954)  8 Tm 2.76-3.01
Tm (0.5000, 0.7518, 0.2482)  2 Ni 2.76
Tm (0.0873, 0.3355, 0.0762)  2 Ni 2.79-2.83
Tm (0.0873, 0.0762, 0.3355)  2 Ni 2.79-2.83
Tm (0.9127, 0.6645, 0.9238)  2 Ni 2.79-2.83

=====

Number 1: final energy -4.656 eV/atom. Number 2: final energy -5.188 eV/atom. Number 3: final energy -5.148 eV/atom. Number 4: final energy -4.949 eV/atom. Number 5: final energy -5.033 eV/atom. Number 6: final energy -5.230 eV/atom. Number 7: final energy -5.025 eV/atom. Number 8: final energy -5.444 eV/atom. Number 9: final energy -5.199 eV/atom. Number 10: final energy -5.356 eV/atom. Number 11: final energy -4.958 eV/atom.